No. 1
# MnAlNi2

An optimized crystal structure of MnAlNi2 (PBEsol, Alexandria).

Spin magnetization ... 0.244 μB per atom
ΔE_f ... -0.158 eV/atom
Crystal system ... tetragonal

abc: 2.572 2.572 6.731
angles: 90.00 90.00 90.00
Site moments in Bohr magnetons follow the coordinates.
Positions (direct):
Mn 0.500 0.500 0.763  1.10
Ni 0.000 0.000 0.996  -0.07
Al 0.000 0.000 0.493  -0.02
Ni 0.500 0.500 0.248  -0.03

***

No. 2
# ScPtPb2

An optimized crystal structure of ScPtPb2 (PBEsol, Alexandria).

Spin magnetization ... 0.000 μB per atom
ΔE_f ... -0.319 eV/atom
Crystal system ... tetragonal

abc: 4.273 4.273 5.562
angles: 112.59 112.59 90.00
Positions (direct):
Pb 0.000 0.000 0.000
Pb 0.750 0.250 0.500
Pt 0.500 0.500 0.000
Sc 0.250 0.750 0.500

***

No. 3
# InFeSn3

An optimized crystal structure of InFeSn3 (PBEsol, Alexandria).

Spin magnetization ... 0.000 μB per atom
ΔE_f ... 0.134 eV/atom
Crystal system ... cubic

abc: 4.909 4.909 4.909
angles: 90.00 90.00 90.00
Positions (direct):
Sn 0.500 0.000 0.000
Fe 0.000 0.000 0.000
Sn 0.000 0.000 0.500
Sn 0.000 0.500 0.000
In 0.500 0.500 0.500

***

No. 4
# CsU2O6

An optimized crystal structure of CsU2O6 (PBEsol, Alexandria).

Spin magnetization ... 0.112 μB per atom
Crystal system ... cubic
Raw formation energy ... -2.996 eV per atom

abc: 7.856 7.856 7.856
angles: 60.00 60.00 60.00
Site moments in Bohr magnetons follow the coordinates.
Positions (direct):
O 0.058 0.442 0.058  -0.02
O 0.808 0.192 0.192  -0.02
U 0.125 0.125 0.625  0.54
Cs 0.500 0.500 0.500  0.00
U 0.125 0.625 0.125  0.54
O 0.442 0.058 0.058  -0.02
O 0.442 0.058 0.442  -0.02
O 0.808 0.808 0.192  -0.02
O 0.192 0.808 0.808  -0.02
O 0.442 0.442 0.058  -0.02
Cs 0.750 0.750 0.750  0.00
O 0.192 0.192 0.808  -0.02
O 0.808 0.192 0.808  -0.02
U 0.125 0.125 0.125  0.54
O 0.058 0.442 0.442  -0.02
U 0.625 0.125 0.125  0.54
O 0.192 0.808 0.192  -0.02
O 0.058 0.058 0.442  -0.02

***

Question: What is the spin magnetization in the first record?
Answer: 0.244 μB per atom

***

Please write out number 2 again, unchanged.
# ScPtPb2

An optimized crystal structure of ScPtPb2 (PBEsol, Alexandria).

Spin magnetization ... 0.000 μB per atom
ΔE_f ... -0.319 eV/atom
Crystal system ... tetragonal

abc: 4.273 4.273 5.562
angles: 112.59 112.59 90.00
Positions (direct):
Pb 0.000 0.000 0.000
Pb 0.750 0.250 0.500
Pt 0.500 0.500 0.000
Sc 0.250 0.750 0.500